! GGA-PBE EuHfSb2, optimized geometry; values from VASP
! Fermi-level density of states: 11.22 states/eV/f.u.
! electronic total energy: -7.89 eV/atom
&SYSTEM
  ibrav = 0, nat = 12, ntyp = 3
/
ATOMIC_SPECIES
Eu 151.96 Eu.upf
Hf 178.49 Hf.upf
Sb 121.76 Sb.upf
ATOMIC_POSITIONS angstrom
Eu 0.0000 0.0000 0.0000
Eu 0.0000 2.4577 14.6878
Eu 2.1284 1.2289 7.3439
Hf 0.0000 0.0000 11.0158
Hf 0.0000 2.4577 3.6720
Hf 2.1284 1.2289 18.3597
Sb 0.0000 0.0000 5.2901
Sb 0.0000 0.0000 16.7416
Sb 0.0000 2.4577 9.3977
Sb 0.0000 2.4577 19.9779
Sb 2.1284 1.2289 2.0538
Sb 2.1284 1.2289 12.6340
CELL_PARAMETERS angstrom
4.2569 0.0000 0.0000
-2.1284 3.6866 0.0000
0.0000 0.0000 22.0317